# TcBi2SbMo, relaxed, DFT PBE
data_TcBi2SbMo
_symmetry_space_group_name_H-M 'P 4/m m m'
_symmetry_Int_Tables_number 123
_symmetry_space_group_name_Hall '-P 4 2'
_cell_length_a 5.3267
_cell_length_b 5.3267
_cell_length_c 5.0910
_cell_angle_alpha 90.00
_cell_angle_beta 90.00
_cell_angle_gamma 90.00
loop_
_atom_site_label
_atom_site_fract_x
_atom_site_fract_y
_atom_site_fract_z
Tc1 0.0000 0.0000 0.0000
Bi1 0.0000 0.5000 0.0000
Sb1 0.0000 0.0000 0.5000
Mo1 0.5000 0.5000 0.5000
# Energy relative to the elements, uncorrected = 1.19 eV/atom
# Calculated total energy = -5.4237 eV/atom
# Density of states at the Fermi level = 4.42 states/eV/cell